1.
# CdPt2Au6 PBE relaxed
# DFT formation energy   -0.0378 eV/atom
# Energy above the lowest structure with this stoichiometry   17.2 meV/atom
# Total magnetic moment   0.00 μB/cell
# E   -3.667 eV per atom
data_CdPt2Au6
_chemical_formula_sum 'Cd1 Pt2 Au6'
_cell_length_a 4.121
_cell_length_b 5.033
_cell_length_c 8.837
_cell_angle_alpha 73.55
_cell_angle_beta 90.00
_cell_angle_gamma 114.17
_symmetry_space_group_name_H-M 'P 1'
_symmetry_Int_Tables_number 1
_symmetry_space_group_name_Hall 'P 1'
loop_
_atom_site_label
_atom_site_fract_x
_atom_site_fract_y
_atom_site_fract_z
Au1 0.326 0.652 0.729
Au2 0.006 0.013 0.161
Au3 0.674 0.348 0.271
Au4 0.336 0.673 0.385
Au5 0.994 0.987 0.839
Au6 0.664 0.327 0.615
Pt1 0.336 0.672 0.052
Pt2 0.664 0.328 0.948
Cd1 0.000 0.000 0.500

=====

2.
# KRbTl PBE relaxed
# DFT formation energy   -0.0521 eV/atom
# Energy above the lowest structure with this stoichiometry   3.0 meV/atom
# Total magnetic moment   0.00 μB/cell
# E   -1.529 eV per atom
data_KRbTl
_chemical_formula_sum 'K2 Rb2 Tl2'
_cell_length_a 5.370
_cell_length_b 7.403
_cell_length_c 9.286
_cell_angle_alpha 99.20
_cell_angle_beta 106.11
_cell_angle_gamma 89.95
_symmetry_space_group_name_H-M 'P 1'
_symmetry_Int_Tables_number 1
_symmetry_space_group_name_Hall 'P 1'
loop_
_atom_site_label
_atom_site_fract_x
_atom_site_fract_y
_atom_site_fract_z
Rb1 0.852 0.363 0.850
Rb2 0.600 0.498 0.324
K1 0.422 0.919 0.002
K2 0.176 0.052 0.487
Tl1 0.249 0.611 0.637
Tl2 0.779 0.821 0.701

=====

3.
# NaPdSeO4 PBE relaxed
# Energy relative to the elements, uncorrected   -5.0 eV/f.u.
# Total magnetic moment   2.05 μB/cell
# E   -4.977 eV per atom
data_NaPdSeO4
_chemical_formula_sum 'Na2 Pd2 Se2 O8'
_cell_length_a 5.660
_cell_length_b 5.660
_cell_length_c 6.895
_cell_angle_alpha 90.00
_cell_angle_beta 90.00
_cell_angle_gamma 115.12
_symmetry_space_group_name_H-M 'P 1'
_symmetry_Int_Tables_number 1
_symmetry_space_group_name_Hall 'P 1'
loop_
_atom_site_label
_atom_site_fract_x
_atom_site_fract_y
_atom_site_fract_z
Se1 0.857 0.143 0.750
Se2 0.143 0.857 0.250
O1 0.751 0.249 0.553
O2 0.741 0.815 0.750
O3 0.249 0.751 0.053
O4 0.259 0.185 0.250
O5 0.185 0.259 0.750
O6 0.751 0.249 0.947
O7 0.815 0.741 0.250
O8 0.249 0.751 0.447
Na1 0.500 0.500 0.000
Na2 0.500 0.500 0.500
Pd1 0.202 0.798 0.750
Pd2 0.798 0.202 0.250

=====

4.
# Al2C2O PBE relaxed
# Energy above the lowest structure with this stoichiometry   690.9 meV/atom
# Energy relative to the elements, uncorrected   2.3 eV/f.u.
# Total magnetic moment   0.00 μB/cell
# E   -5.721 eV per atom
data_Al2C2O
_chemical_formula_sum 'Al2 C2 O1'
_cell_length_a 2.888
_cell_length_b 2.888
_cell_length_c 5.937
_cell_angle_alpha 75.92
_cell_angle_beta 75.92
_cell_angle_gamma 90.00
_symmetry_space_group_name_H-M 'P 1'
_symmetry_Int_Tables_number 1
_symmetry_space_group_name_Hall 'P 1'
loop_
_atom_site_label
_atom_site_fract_x
_atom_site_fract_y
_atom_site_fract_z
Al1 0.618 0.618 0.764
Al2 0.382 0.382 0.236
C1 0.750 0.250 0.500
C2 0.250 0.750 0.500
O1 0.000 0.000 0.000

=====

5.
# Tm4Pb PBE relaxed
# DFT formation energy   0.4587 eV/atom
# Energy above the lowest structure with this stoichiometry   622.6 meV/atom
# Total magnetic moment   0.04 μB/cell
# E   -3.860 eV per atom
data_Tm4Pb
_chemical_formula_sum 'Tm4 Pb1'
_cell_length_a 5.707
_cell_length_b 5.707
_cell_length_c 5.707
_cell_angle_alpha 90.00
_cell_angle_beta 90.00
_cell_angle_gamma 90.00
_symmetry_space_group_name_H-M 'P 1'
_symmetry_Int_Tables_number 1
_symmetry_space_group_name_Hall 'P 1'
loop_
_atom_site_label
_atom_site_fract_x
_atom_site_fract_y
_atom_site_fract_z
Tm1 0.500 0.000 0.500
Tm2 0.000 0.500 0.500
Tm3 0.000 0.000 0.000
Tm4 0.500 0.500 0.000
Pb1 0.500 0.500 0.500

=====

6.
# Tl2HgGeTe4 PBE relaxed
# Energy above the lowest structure with this stoichiometry   54.8 meV/atom
# Energy relative to the elements, uncorrected   -1.1 eV/f.u.
# Total magnetic moment   0.00 μB/cell
# E   -2.914 eV per atom
data_Tl2HgGeTe4
_chemical_formula_sum 'Tl4 Hg2 Ge2 Te8'
_cell_length_a 7.166
_cell_length_b 10.215
_cell_length_c 8.798
_cell_angle_alpha 90.00
_cell_angle_beta 90.00
_cell_angle_gamma 90.00
_symmetry_space_group_name_H-M 'P 1'
_symmetry_Int_Tables_number 1
_symmetry_space_group_name_Hall 'P 1'
loop_
_atom_site_label
_atom_site_fract_x
_atom_site_fract_y
_atom_site_fract_z
Tl1 0.947 0.663 0.780
Tl2 0.447 0.337 0.720
Tl3 0.947 0.663 0.220
Tl4 0.447 0.337 0.280
Te1 0.911 0.294 0.239
Te2 0.411 0.706 0.739
Te3 0.897 0.914 0.000
Te4 0.411 0.706 0.261
Te5 0.397 0.086 0.500
Te6 0.878 0.858 0.500
Te7 0.378 0.142 0.000
Te8 0.911 0.294 0.761
Ge1 0.012 0.156 0.000
Ge2 0.512 0.844 0.500
Hg1 0.495 0.871 0.000
Hg2 0.995 0.129 0.500

=====

7.
# Zr2ScAu PBE relaxed
# DFT formation energy   0.0144 eV/atom
# Total magnetic moment   0.00 μB/cell
# E   -6.662 eV per atom
data_Zr2ScAu
_chemical_formula_sum 'Zr4 Sc2 Au2'
_cell_length_a 8.069
_cell_length_b 8.069
_cell_length_c 6.377
_cell_angle_alpha 50.76
_cell_angle_beta 50.76
_cell_angle_gamma 90.00
_symmetry_space_group_name_H-M 'P 1'
_symmetry_Int_Tables_number 1
_symmetry_space_group_name_Hall 'P 1'
loop_
_atom_site_label
_atom_site_fract_x
_atom_site_fract_y
_atom_site_fract_z
Zr1 0.375 0.340 0.750
Zr2 0.090 0.625 0.250
Zr3 0.660 0.125 0.250
Zr4 0.875 0.910 0.750
Au1 0.750 0.250 0.500
Au2 0.000 0.000 0.000
Sc1 0.500 0.500 0.000
Sc2 0.250 0.750 0.500

=====

8.
# La2GePd PBE relaxed
# DFT formation energy   -0.6902 eV/atom
# Total magnetic moment   0.00 μB/cell
# E   -5.606 eV per atom
data_La2GePd
_chemical_formula_sum 'La2 Ge1 Pd1'
_cell_length_a 4.450
_cell_length_b 4.450
_cell_length_c 7.323
_cell_angle_alpha 72.31
_cell_angle_beta 72.31
_cell_angle_gamma 60.00
_symmetry_space_group_name_H-M 'P 1'
_symmetry_Int_Tables_number 1
_symmetry_space_group_name_Hall 'P 1'
loop_
_atom_site_label
_atom_site_fract_x
_atom_site_fract_y
_atom_site_fract_z
Pd1 0.000 0.000 0.000
La1 0.750 0.750 0.749
La2 0.250 0.250 0.251
Ge1 0.500 0.500 0.500

=====

9.
# NbS2ClO PBE relaxed
# Energy above the lowest structure with this stoichiometry   434.7 meV/atom
# Energy relative to the elements, uncorrected   2.6 eV/f.u.
# Total magnetic moment   1.98 μB/cell
# E   -4.515 eV per atom
data_NbS2ClO
_chemical_formula_sum 'Nb1 S2 Cl1 O1'
_cell_length_a 3.938
_cell_length_b 3.938
_cell_length_c 5.159
_cell_angle_alpha 90.00
_cell_angle_beta 90.00
_cell_angle_gamma 90.00
_symmetry_space_group_name_H-M 'P 1'
_symmetry_Int_Tables_number 1
_symmetry_space_group_name_Hall 'P 1'
loop_
_atom_site_label
_atom_site_fract_x
_atom_site_fract_y
_atom_site_fract_z
Cl1 0.000 0.000 0.500
S1 0.500 0.000 0.000
S2 0.000 0.500 0.000
Nb1 0.500 0.500 0.500
O1 0.000 0.000 0.000

=====

10.
# Ca4TaTc PBE relaxed
# DFT formation energy   1.3625 eV/atom
# Total magnetic moment   0.63 μB/cell
# E   -3.675 eV per atom
data_Ca4TaTc
_chemical_formula_sum 'Ca4 Ta1 Tc1'
_cell_length_a 6.207
_cell_length_b 6.207
_cell_length_c 6.207
_cell_angle_alpha 60.00
_cell_angle_beta 60.00
_cell_angle_gamma 60.00
_symmetry_space_group_name_H-M 'P 1'
_symmetry_Int_Tables_number 1
_symmetry_space_group_name_Hall 'P 1'
loop_
_atom_site_label
_atom_site_fract_x
_atom_site_fract_y
_atom_site_fract_z
Ta1 0.750 0.750 0.750
Tc1 0.000 0.000 0.000
Ca1 0.876 0.375 0.375
Ca2 0.375 0.876 0.375
Ca3 0.375 0.375 0.375
Ca4 0.375 0.375 0.876

=====

11.
# CrAsP4 PBE relaxed
# DFT formation energy   0.7153 eV/atom
# Total magnetic moment   3.96 μB/cell
# E   -5.270 eV per atom
data_CrAsP4
_chemical_formula_sum 'Cr1 As1 P4'
_cell_length_a 5.103
_cell_length_b 5.103
_cell_length_c 5.103
_cell_angle_alpha 60.00
_cell_angle_beta 60.00
_cell_angle_gamma 60.00
_symmetry_space_group_name_H-M 'P 1'
_symmetry_Int_Tables_number 1
_symmetry_space_group_name_Hall 'P 1'
loop_
_atom_site_label
_atom_site_fract_x
_atom_site_fract_y
_atom_site_fract_z
P1 0.879 0.374 0.374
P2 0.374 0.374 0.374
P3 0.374 0.374 0.879
P4 0.374 0.879 0.374
As1 0.750 0.750 0.750
Cr1 0.000 0.000 0.000

=====

12.
# SrScMo PBE relaxed
# DFT formation energy   0.7711 eV/atom
# Energy above the lowest structure with this stoichiometry   166.7 meV/atom
# Total magnetic moment   1.13 μB/cell
# E   -5.510 eV per atom
data_SrScMo
_chemical_formula_sum 'Sr1 Sc1 Mo1'
_cell_length_a 3.376
_cell_length_b 3.376
_cell_length_c 7.884
_cell_angle_alpha 90.00
_cell_angle_beta 90.00
_cell_angle_gamma 120.00
_symmetry_space_group_name_H-M 'P 1'
_symmetry_Int_Tables_number 1
_symmetry_space_group_name_Hall 'P 1'
loop_
_atom_site_label
_atom_site_fract_x
_atom_site_fract_y
_atom_site_fract_z
Sc1 0.667 0.333 0.273
Sr1 0.333 0.667 0.702
Mo1 0.000 0.000 0.025

=====

13.
# Tb3SmY4 PBE relaxed
# DFT formation energy   0.0083 eV/atom
# Energy above the lowest structure with this stoichiometry   0.0 meV/atom
# Total magnetic moment   0.00 μB/cell
# E   -5.550 eV per atom
data_Tb3SmY4
_chemical_formula_sum 'Tb6 Sm2 Y8'
_cell_length_a 6.321
_cell_length_b 7.312
_cell_length_c 11.353
_cell_angle_alpha 90.00
_cell_angle_beta 90.00
_cell_angle_gamma 90.00
_symmetry_space_group_name_H-M 'P 1'
_symmetry_Int_Tables_number 1
_symmetry_space_group_name_Hall 'P 1'
loop_
_atom_site_label
_atom_site_fract_x
_atom_site_fract_y
_atom_site_fract_z
Y1 0.482 0.875 0.249
Y2 0.982 0.125 0.251
Y3 0.146 0.875 0.000
Y4 0.482 0.875 0.751
Y5 0.647 0.125 0.000
Y6 0.982 0.125 0.749
Y7 0.147 0.875 0.500
Y8 0.646 0.125 0.500
Sm1 0.150 0.376 0.000
Sm2 0.650 0.624 0.500
Tb1 0.980 0.625 0.750
Tb2 0.649 0.625 0.000
Tb3 0.980 0.625 0.250
Tb4 0.480 0.375 0.750
Tb5 0.149 0.375 0.500
Tb6 0.480 0.375 0.250

=====

14.
# GaBiAs2 PBE relaxed
# DFT formation energy   0.0107 eV/atom
# Energy above the lowest structure with this stoichiometry   0.0 meV/atom
# Total magnetic moment   0.00 μB/cell
# E   -4.041 eV per atom
data_GaBiAs2
_chemical_formula_sum 'Ga2 Bi2 As4'
_cell_length_a 6.356
_cell_length_b 6.356
_cell_length_c 7.448
_cell_angle_alpha 64.74
_cell_angle_beta 64.74
_cell_angle_gamma 90.00
_symmetry_space_group_name_H-M 'P 1'
_symmetry_Int_Tables_number 1
_symmetry_space_group_name_Hall 'P 1'
loop_
_atom_site_label
_atom_site_fract_x
_atom_site_fract_y
_atom_site_fract_z
Ga1 0.250 0.750 0.500
Ga2 0.500 0.500 0.000
As1 0.571 0.125 0.250
As2 0.179 0.625 0.250
As3 0.375 0.429 0.750
As4 0.875 0.821 0.750
Bi1 0.000 0.000 0.000
Bi2 0.750 0.250 0.500

=====

15.
# NaDyMg2 PBE relaxed
# DFT formation energy   0.0557 eV/atom
# Energy above the lowest structure with this stoichiometry   0.0 meV/atom
# Total magnetic moment   0.49 μB/cell
# E   -2.222 eV per atom
data_NaDyMg2
_chemical_formula_sum 'Na1 Dy1 Mg2'
_cell_length_a 3.690
_cell_length_b 3.690
_cell_length_c 8.220
_cell_angle_alpha 90.00
_cell_angle_beta 90.00
_cell_angle_gamma 90.00
_symmetry_space_group_name_H-M 'P 1'
_symmetry_Int_Tables_number 1
_symmetry_space_group_name_Hall 'P 1'
loop_
_atom_site_label
_atom_site_fract_x
_atom_site_fract_y
_atom_site_fract_z
Mg1 0.000 0.000 0.256
Mg2 0.000 0.000 0.744
Dy1 0.500 0.500 0.500
Na1 0.500 0.500 0.000

=====

16.
# AlZnAu5 PBE relaxed
# DFT formation energy   -0.1522 eV/atom
# Energy above the lowest structure with this stoichiometry   15.0 meV/atom
# Total magnetic moment   0.00 μB/cell
# E   -3.210 eV per atom
data_AlZnAu5
_chemical_formula_sum 'Al2 Zn2 Au10'
_cell_length_a 7.497
_cell_length_b 7.497
_cell_length_c 5.968
_cell_angle_alpha 66.36
_cell_angle_beta 66.36
_cell_angle_gamma 96.99
_symmetry_space_group_name_H-M 'P 1'
_symmetry_Int_Tables_number 1
_symmetry_space_group_name_Hall 'P 1'
loop_
_atom_site_label
_atom_site_fract_x
_atom_site_fract_y
_atom_site_fract_z
Zn1 0.000 0.000 0.000
Zn2 0.000 0.000 0.500
Au1 0.802 0.198 0.250
Au2 0.424 0.163 0.715
Au3 0.166 0.424 0.699
Au4 0.576 0.834 0.801
Au5 0.198 0.802 0.750
Au6 0.837 0.576 0.785
Au7 0.834 0.576 0.301
Au8 0.576 0.837 0.285
Au9 0.163 0.424 0.215
Au10 0.424 0.166 0.199
Al1 0.500 0.500 0.750
Al2 0.500 0.500 0.250

=====

17.
# SrAcCdRh PBE relaxed
# DFT formation energy   -0.2665 eV/atom
# Total magnetic moment   0.00 μB/cell
# E   -3.781 eV per atom
data_SrAcCdRh
_chemical_formula_sum 'Sr1 Ac1 Cd1 Rh1'
_cell_length_a 5.444
_cell_length_b 5.444
_cell_length_c 5.444
_cell_angle_alpha 60.00
_cell_angle_beta 60.00
_cell_angle_gamma 60.00
_symmetry_space_group_name_H-M 'P 1'
_symmetry_Int_Tables_number 1
_symmetry_space_group_name_Hall 'P 1'
loop_
_atom_site_label
_atom_site_fract_x
_atom_site_fract_y
_atom_site_fract_z
Sr1 0.750 0.750 0.750
Ac1 0.250 0.250 0.250
Rh1 0.500 0.500 0.500
Cd1 0.000 0.000 0.000

=====

18.
# NaAcPr2 PBE relaxed
# DFT formation energy   0.1661 eV/atom
# Energy above the lowest structure with this stoichiometry   48.8 meV/atom
# Total magnetic moment   0.00 μB/cell
# E   -3.581 eV per atom
data_NaAcPr2
_chemical_formula_sum 'Na1 Ac1 Pr2'
_cell_length_a 3.730
_cell_length_b 3.730
_cell_length_c 13.507
_cell_angle_alpha 82.06
_cell_angle_beta 82.06
_cell_angle_gamma 60.00
_symmetry_space_group_name_H-M 'P 1'
_symmetry_Int_Tables_number 1
_symmetry_space_group_name_Hall 'P 1'
loop_
_atom_site_label
_atom_site_fract_x
_atom_site_fract_y
_atom_site_fract_z
Na1 0.000 0.000 0.000
Pr1 0.910 0.910 0.271
Pr2 0.090 0.090 0.729
Ac1 0.500 0.500 0.500

=====

19.
# TeRhSe2Br PBE relaxed
# Energy above the lowest structure with this stoichiometry   0.0 meV/atom
# Energy relative to the elements, uncorrected   1.2 eV/f.u.
# Total magnetic moment   0.00 μB/cell
# E   -3.580 eV per atom
data_TeRhSe2Br
_chemical_formula_sum 'Te1 Rh1 Se2 Br1'
_cell_length_a 4.932
_cell_length_b 4.932
_cell_length_c 4.957
_cell_angle_alpha 90.00
_cell_angle_beta 90.00
_cell_angle_gamma 90.00
_symmetry_space_group_name_H-M 'P 1'
_symmetry_Int_Tables_number 1
_symmetry_space_group_name_Hall 'P 1'
loop_
_atom_site_label
_atom_site_fract_x
_atom_site_fract_y
_atom_site_fract_z
Se1 0.500 0.000 0.000
Se2 0.000 0.500 0.000
Rh1 0.000 0.000 0.000
Br1 0.000 0.000 0.500
Te1 0.500 0.500 0.500

=====

20.
# RbNiIBr2 PBE relaxed
# Energy above the lowest structure with this stoichiometry   0.0 meV/atom
# Energy relative to the elements, uncorrected   -3.6 eV/f.u.
# Total magnetic moment   0.00 μB/cell
# E   -3.048 eV per atom
data_RbNiIBr2
_chemical_formula_sum 'Rb1 Ni1 I1 Br2'
_cell_length_a 5.168
_cell_length_b 5.168
_cell_length_c 5.430
_cell_angle_alpha 90.00
_cell_angle_beta 90.00
_cell_angle_gamma 90.00
_symmetry_space_group_name_H-M 'P 1'
_symmetry_Int_Tables_number 1
_symmetry_space_group_name_Hall 'P 1'
loop_
_atom_site_label
_atom_site_fract_x
_atom_site_fract_y
_atom_site_fract_z
Rb1 0.500 0.500 0.500
Ni1 0.000 0.000 0.000
Br1 0.000 0.500 0.000
Br2 0.500 0.000 0.000
I1 0.000 0.000 0.500